The following is a DFT calculation (GGA-PBE) of a geometry-optimized LiPbO2 structure.

Output
Its crystal system is orthorhombic.

Cell and atoms, written as CIF:
```
data_LiPbO2
_chemical_formula_sum 'Li4 Pb4 O8'
_cell_length_a 6.2767
_cell_length_b 6.9437
_cell_length_c 5.6196
_cell_angle_alpha 90.00
_cell_angle_beta 90.00
_cell_angle_gamma 90.00
_symmetry_space_group_name_H-M 'P 1'
_symmetry_Int_Tables_number 1
loop_
_symmetry_equiv_pos_as_xyz
'x,y,z'
loop_
_atom_site_label
_atom_site_fract_x
_atom_site_fract_y
_atom_site_fract_z
_atom_site_occupancy
Li1 0.0794 0.1243 0.0000 1
Li2 0.4206 0.6243 0.5000 1
Li3 0.5794 0.3757 0.0000 1
Li4 0.9206 0.8757 0.5000 1
Pb1 0.1068 0.6225 0.9960 1
Pb2 0.3932 0.1225 0.4960 1
Pb3 0.6068 0.8775 0.9960 1
Pb4 0.8932 0.3775 0.4960 1
O1 0.0582 0.1160 0.3646 1
O2 0.0911 0.6337 0.3942 1
O3 0.4089 0.1337 0.8942 1
O4 0.4418 0.6160 0.8646 1
O5 0.5582 0.3840 0.3646 1
O6 0.5911 0.8663 0.3942 1
O7 0.9089 0.3663 0.8942 1
O8 0.9418 0.8840 0.8646 1
```



The following is a DFT calculation (GGA-PBE) of a geometry-optimized LiPb3O structure.

Output
The polymorph energy (0 for the lowest one) is 3.50 eV/f.u. Its crystal system is cubic.

Cell and atoms, written as CIF:
```
data_LiPb3O
_chemical_formula_sum 'Li1 Pb3 O1'
_cell_length_a 5.0107
_cell_length_b 5.0107
_cell_length_c 5.0107
_cell_angle_alpha 90.00
_cell_angle_beta 90.00
_cell_angle_gamma 90.00
_symmetry_space_group_name_H-M 'P 1'
_symmetry_Int_Tables_number 1
loop_
_symmetry_equiv_pos_as_xyz
'x,y,z'
loop_
_atom_site_label
_atom_site_fract_x
_atom_site_fract_y
_atom_site_fract_z
_atom_site_occupancy
Li1 0.0000 0.0000 0.0000 1
Pb1 0.0000 0.0000 0.5000 1
Pb2 0.0000 0.5000 0.0000 1
Pb3 0.5000 0.0000 0.0000 1
O1 0.5000 0.5000 0.5000 1
```



The following is a DFT calculation (GGA-PBE) of a geometry-optimized Li2PbO3 structure.

Output
Its crystal system is monoclinic.

Cell and atoms, written as CIF:
```
data_Li2PbO3
_chemical_formula_sum 'Li4 Pb2 O6'
_cell_length_a 5.7410
_cell_length_b 5.7410
_cell_length_c 5.8348
_cell_angle_alpha 100.83
_cell_angle_beta 100.83
_cell_angle_gamma 118.45
_symmetry_space_group_name_H-M 'P 1'
_symmetry_Int_Tables_number 1
loop_
_symmetry_equiv_pos_as_xyz
'x,y,z'
loop_
_atom_site_label
_atom_site_fract_x
_atom_site_fract_y
_atom_site_fract_z
_atom_site_occupancy
Li1 0.0716 0.9284 0.5000 1
Li2 0.2478 0.7575 0.9927 1
Li3 0.7575 0.2478 0.4927 1
Li4 0.9284 0.0716 0.0000 1
Pb1 0.4120 0.6223 0.5105 1
Pb2 0.6223 0.4120 0.0105 1
O1 0.0970 0.6310 0.6218 1
O2 0.2940 0.4542 0.1155 1
O3 0.4542 0.2940 0.6155 1
O4 0.6310 0.0970 0.1218 1
O5 0.8027 0.9815 0.6341 1
O6 0.9815 0.8027 0.1341 1
```



The following is a DFT calculation (GGA-PBE) of a geometry-optimized Li2PbO3 structure.

Output
Its crystal system is orthorhombic.

Cell and atoms, written as CIF:
```
data_Li2PbO3
_chemical_formula_sum 'Li2 Pb1 O3'
_cell_length_a 5.4418
_cell_length_b 5.4418
_cell_length_c 5.4418
_cell_angle_alpha 145.54
_cell_angle_beta 132.59
_cell_angle_gamma 59.91
_symmetry_space_group_name_H-M 'P 1'
_symmetry_Int_Tables_number 1
loop_
_symmetry_equiv_pos_as_xyz
'x,y,z'
loop_
_atom_site_label
_atom_site_fract_x
_atom_site_fract_y
_atom_site_fract_z
_atom_site_occupancy
Li1 0.1665 0.1665 0.0000 1
Li2 0.8335 0.8335 0.0000 1
Pb1 0.5000 0.5000 0.0000 1
O1 0.0000 0.5000 0.5000 1
O2 0.3390 0.8390 0.5000 1
O3 0.6610 0.1610 0.5000 1
```



The following is a DFT calculation (GGA-PBE) of a geometry-optimized Li4Pb3O8 structure.

Output
Its crystal system is trigonal.

Cell and atoms, written as CIF:
```
data_Li4Pb3O8
_chemical_formula_sum 'Li4 Pb3 O8'
_cell_length_a 6.5504
_cell_length_b 6.5504
_cell_length_c 6.5504
_cell_angle_alpha 59.65
_cell_angle_beta 59.65
_cell_angle_gamma 59.65
_symmetry_space_group_name_H-M 'P 1'
_symmetry_Int_Tables_number 1
loop_
_symmetry_equiv_pos_as_xyz
'x,y,z'
loop_
_atom_site_label
_atom_site_fract_x
_atom_site_fract_y
_atom_site_fract_z
_atom_site_occupancy
Li1 0.0000 0.0000 0.0000 1
Li2 0.1394 0.1394 0.1394 1
Li3 0.5000 0.5000 0.5000 1
Li4 0.8606 0.8606 0.8606 1
Pb1 0.0000 0.5000 0.5000 1
Pb2 0.5000 0.0000 0.5000 1
Pb3 0.5000 0.5000 0.0000 1
O1 0.2442 0.2442 0.7335 1
O2 0.2442 0.7335 0.2442 1
O3 0.2578 0.2578 0.2578 1
O4 0.2665 0.7558 0.7558 1
O5 0.7335 0.2442 0.2442 1
O6 0.7422 0.7422 0.7422 1
O7 0.7558 0.2665 0.7558 1
O8 0.7558 0.7558 0.2665 1
```



The following is a DFT calculation (GGA-PBE) of a geometry-optimized Li2Pb2O3 structure.

Output
Its crystal system is monoclinic.

Cell and atoms, written as CIF:
```
data_Li2Pb2O3
_chemical_formula_sum 'Li4 Pb4 O6'
_cell_length_a 5.9600
_cell_length_b 5.6807
_cell_length_c 9.6200
_cell_angle_alpha 90.00
_cell_angle_beta 124.62
_cell_angle_gamma 90.00
_symmetry_space_group_name_H-M 'P 1'
_symmetry_Int_Tables_number 1
loop_
_symmetry_equiv_pos_as_xyz
'x,y,z'
loop_
_atom_site_label
_atom_site_fract_x
_atom_site_fract_y
_atom_site_fract_z
_atom_site_occupancy
Li1 0.0746 0.1376 0.3425 1
Li2 0.0746 0.3624 0.8425 1
Li3 0.9254 0.6376 0.1575 1
Li4 0.9254 0.8624 0.6575 1
Pb1 0.2621 0.6818 0.5567 1
Pb2 0.2621 0.8182 0.0567 1
Pb3 0.7379 0.1818 0.9433 1
Pb4 0.7379 0.3182 0.4433 1
O1 0.0000 0.0000 0.5000 1
O2 0.0000 0.5000 0.0000 1
O3 0.0475 0.5422 0.6693 1
O4 0.0475 0.9578 0.1693 1
O5 0.9525 0.0422 0.8307 1
O6 0.9525 0.4578 0.3307 1
```



The following is a DFT calculation (GGA-PBE) of a geometry-optimized Li2PbO2 structure.

Output
The polymorph energy (0 for the lowest one) is 0.00 eV/f.u. Its crystal system is monoclinic.

Cell and atoms, written as CIF:
```
data_Li2PbO2
_chemical_formula_sum 'Li4 Pb2 O4'
_cell_length_a 5.6177
_cell_length_b 5.6177
_cell_length_c 8.5266
_cell_angle_alpha 108.97
_cell_angle_beta 108.97
_cell_angle_gamma 37.13
_symmetry_space_group_name_H-M 'P 1'
_symmetry_Int_Tables_number 1
loop_
_symmetry_equiv_pos_as_xyz
'x,y,z'
loop_
_atom_site_label
_atom_site_fract_x
_atom_site_fract_y
_atom_site_fract_z
_atom_site_occupancy
Li1 0.0062 0.0062 0.1578 1
Li2 0.3361 0.3361 0.0039 1
Li3 0.6639 0.6639 0.9961 1
Li4 0.9938 0.9938 0.8422 1
Pb1 0.3140 0.3140 0.3366 1
Pb2 0.6860 0.6860 0.6634 1
O1 0.1661 0.1661 0.0858 1
O2 0.4689 0.4689 0.2347 1
O3 0.5311 0.5311 0.7653 1
O4 0.8339 0.8339 0.9142 1
```



The following is a DFT calculation (GGA-PBE) of a geometry-optimized LiPb2O4 structure.

Output
The polymorph energy (0 for the lowest one) is 0.20 eV/f.u. Its crystal system is monoclinic.

Cell and atoms, written as CIF:
```
data_LiPb2O4
_chemical_formula_sum 'Li4 Pb8 O16'
_cell_length_a 6.8331
_cell_length_b 6.8331
_cell_length_c 11.6552
_cell_angle_alpha 107.69
_cell_angle_beta 107.69
_cell_angle_gamma 62.40
_symmetry_space_group_name_H-M 'P 1'
_symmetry_Int_Tables_number 1
loop_
_symmetry_equiv_pos_as_xyz
'x,y,z'
loop_
_atom_site_label
_atom_site_fract_x
_atom_site_fract_y
_atom_site_fract_z
_atom_site_occupancy
Li1 0.0225 0.3848 0.2939 1
Li2 0.3848 0.0225 0.7939 1
Li3 0.6152 0.9775 0.2061 1
Li4 0.9775 0.6152 0.7061 1
Pb1 0.0000 0.0000 0.0000 1
Pb2 0.0000 0.0000 0.5000 1
Pb3 0.0000 0.5000 0.0000 1
Pb4 0.2659 0.7341 0.2500 1
Pb5 0.5000 0.0000 0.5000 1
Pb6 0.5000 0.5000 0.0000 1
Pb7 0.5000 0.5000 0.5000 1
Pb8 0.7341 0.2659 0.7500 1
O1 0.0777 0.1741 0.8655 1
O2 0.1371 0.6060 0.8902 1
O3 0.1741 0.0777 0.3655 1
O4 0.1744 0.6046 0.3720 1
O5 0.3540 0.4061 0.1143 1
O6 0.3940 0.8629 0.6098 1
O7 0.3954 0.8256 0.1280 1
O8 0.4061 0.3540 0.6143 1
O9 0.5939 0.6460 0.3857 1
O10 0.6046 0.1744 0.8720 1
O11 0.6060 0.1371 0.3902 1
O12 0.6460 0.5939 0.8857 1
O13 0.8256 0.3954 0.6280 1
O14 0.8259 0.9223 0.6345 1
O15 0.8629 0.3940 0.1098 1
O16 0.9223 0.8259 0.1345 1
```



Number 1: formation energy (no corrections) -1.26 eV per atom, final energy -5.146 eV per atom. Number 2: formation energy (no corrections) 0.39 eV per atom, final energy -3.207 eV per atom. Number 3: formation energy (no corrections) -1.40 eV per atom, final energy -5.130 eV per atom. Number 4: formation energy (no corrections) -1.43 eV per atom, final energy -5.168 eV per atom. Number 5: formation energy (no corrections) -1.29 eV per atom, final energy -5.190 eV per atom. Number 6: formation energy (no corrections) -1.37 eV per atom, final energy -5.098 eV per atom. Number 7: formation energy (no corrections) -1.44 eV per atom, final energy -4.928 eV per atom. Number 8: formation energy (no corrections) -1.10 eV per atom, final energy -5.267 eV per atom.